An optimized crystal structure of Li2NiF, computed with PBE with a Hubbard U.

```
Li2NiF
1.0
-3.335 0.347 2.643
-3.864 -1.316 -1.254
-1.728 -3.501 1.728
Ni Li F
1 2 1
direct
0.500 0.500 0.500
0.750 0.750 0.750
0.250 0.250 0.250
0.000 0.000 0.000
```

Summary:
Its volume is 13.8 Å³/atom. As for the magnetic moment: 1.0 μB/f.u. The uncorrected energy is -2.3778 eV/atom. For the theoretical density, the calculation gives 2.8 g/cm3.